1.
Material: Tb5Dy2Y
Method: DFT, PBE
State: relaxed

```
Tb5Dy2Y
1.0
5.0250 0.0000 0.0000
0.0000 7.1210 0.0000
0.0000 0.0000 14.2432
Tb Dy Y
10 4 2
Cartesian
0.0000 3.5635 3.5670
0.0000 3.5605 7.1216
2.5125 1.7745 12.4591
0.0000 7.1180 10.6886
0.0000 0.0000 0.0000
0.0000 3.5575 10.6762
2.5125 1.7860 5.3375
2.5125 5.3351 8.9058
0.0000 0.0030 3.5546
2.5125 5.3465 1.7842
2.5125 1.7788 1.7829
2.5125 5.3423 12.4604
2.5125 5.3393 5.3388
2.5125 1.7817 8.9045
0.0000 3.5605 0.0000
0.0000 0.0000 7.1216
```

Output
DFT total energy ... -4.838 eV per atom
Symmetry ... Pbam
Fermi-level density of states ... 19.4 states/eV per cell
ΔE_f ... 15 meV per atom
ΔE to the lowest computed polymorph ... 0.0 meV per atom

2.
Material: BaReAs2
Method: DFT, PBE
State: relaxed

```
BaReAs2
1.0
4.6205 0.0000 0.0000
0.0000 4.0626 0.0111
0.0000 2.0154 6.1024
As Re Ba
2 1 1
Cartesian
2.3103 1.2665 1.1907
0.0000 5.3183 5.3960
2.3103 5.3167 5.9576
0.0000 3.2934 2.7395
```

Output
DFT total energy ... -6.074 eV per atom
Symmetry ... Amm2
Fermi-level density of states ... 4.5 states/eV per cell
ΔE_f ... -156 meV per atom
ΔE to the lowest computed polymorph ... 100.7 meV per atom

3.
Material: SbC2Se
Method: DFT, PBE
State: relaxed

```
SbC2Se
1.0
-2.8412 3.7844 -0.1599
-1.0409 -0.5879 4.5816
2.5857 5.0590 3.6833
Se C Sb
2 4 2
Cartesian
-1.9411 1.5983 2.2108
-0.1981 3.0347 5.2378
-1.4455 6.5980 6.5783
0.4714 4.9861 4.4737
-0.3922 1.4142 3.7625
-1.2265 3.5127 1.3954
0.0000 0.0000 0.0000
-1.0983 5.2208 2.8671
```

Output
DFT total energy ... -4.802 eV per atom
Symmetry ... I-42d
Fermi-level density of states ... 1.3 states/eV per cell
ΔE to the lowest computed polymorph ... 0.0 meV per atom

4.
Material: Y4Tm9Al11
Method: DFT, PBE
State: relaxed

```
Y4Tm9Al11
1.0
3.3145 0.0000 0.0000
0.0000 12.4893 -5.1051
0.0000 0.2137 13.4907
Y Tm Al
4 9 11
Cartesian
1.6573 7.5983 7.2168
1.6573 9.6222 4.1509
1.6573 5.1048 1.1688
1.6573 3.0809 4.2348
1.6573 5.0256 9.2828
1.6573 10.5109 0.9733
1.6573 6.3515 4.1928
1.6573 10.1549 9.3088
1.6573 2.5482 -0.9232
1.6573 12.5506 5.6796
1.6573 0.1525 2.7060
1.6573 7.6774 -0.8971
1.6573 2.1921 7.4123
0.0000 2.5356 9.9734
0.0000 10.2267 6.7509
0.0000 5.1484 -1.6034
0.0000 7.5546 9.9890
0.0000 2.4764 1.6347
0.0000 12.1542 3.0213
0.0000 7.8345 1.9463
0.0000 0.0000 0.0000
0.0000 4.8685 6.4393
0.0000 0.5489 5.3643
0.0000 10.1675 -1.5878
```

Output
DFT total energy ... -4.800 eV per atom
Symmetry ... Cmmm
Fermi-level density of states ... 14.6 states/eV per cell
ΔE_f ... -330 meV per atom

5.
Material: LiSO2F
Method: DFT, PBE
State: relaxed

```
LiSO2F
1.0
3.3886 0.0000 0.0000
0.0000 6.8525 0.0000
0.0000 0.0000 3.3886
F Li S O
1 1 1 2
Cartesian
1.6943 3.4263 1.6943
0.0000 3.4263 0.0000
0.0000 0.0000 0.0000
1.6943 0.0000 0.0000
0.0000 0.0000 1.6943
```

Output
DFT total energy ... -4.412 eV per atom
Symmetry ... P4/mmm
Fermi-level density of states ... 1.1 states/eV per cell

6.
Material: PuCdH8Ir2
Method: DFT, PBE
State: relaxed

```
PuCdH8Ir2
1.0
-4.2484 2.5298 0.0394
-3.4162 -0.9581 3.4441
-0.2282 4.3786 4.5413
H Pu Ir Cd
8 1 2 1
Cartesian
-2.2029 3.5155 5.3894
-5.6899 2.4348 2.6355
-4.7986 0.8627 3.8147
-6.3148 3.8081 5.4446
-3.0943 5.0876 4.2101
-1.5781 2.1422 2.5803
-3.7276 1.6901 2.1340
-4.1652 4.2602 5.8909
-3.9464 2.9752 4.0124
-2.2703 0.9954 1.5746
-5.6226 4.9549 6.4502
0.0000 0.0000 0.0000
```

Output
DFT total energy ... -4.959 eV per atom
Symmetry ... R-3
Fermi-level density of states ... 13.6 states/eV per cell

7.
Material: CaSi3Os3
Method: DFT, PBE
State: relaxed

```
CaSi3Os3
1.0
6.5624 0.0000 0.0000
0.0000 6.5624 0.0000
0.0000 0.0000 6.5624
Si Os Ca
6 6 2
Cartesian
1.6406 3.2812 0.0000
3.2812 0.0000 1.6406
0.0000 1.6406 3.2812
3.2812 0.0000 4.9218
0.0000 4.9218 3.2812
4.9218 3.2812 0.0000
3.2812 4.9218 0.0000
3.2812 1.6406 0.0000
0.0000 3.2812 4.9218
4.9218 0.0000 3.2812
0.0000 3.2812 1.6406
1.6406 0.0000 3.2812
0.0000 0.0000 0.0000
3.2812 3.2812 3.2812
```

Output
DFT total energy ... -7.356 eV per atom
Symmetry ... Pm-3n
Fermi-level density of states ... 5.6 states/eV per cell
ΔE to the lowest computed polymorph ... 142.6 meV per atom

8.
Material: Ge2HWAu
Method: DFT, PBE
State: relaxed

```
Ge2HWAu
1.0
5.1158 0.0000 0.0000
0.0000 3.1540 0.0000
0.0000 0.0000 5.1158
Ge W Au H
2 1 1 1
Cartesian
0.0000 0.0000 2.5579
2.5579 0.0000 0.0000
2.5579 1.5770 2.5579
0.0000 0.0000 0.0000
0.0000 1.5770 0.0000
```

Output
DFT total energy ... -4.898 eV per atom
Symmetry ... P4/mmm
Fermi-level density of states ... 3.5 states/eV per cell
ΔE to the lowest computed polymorph ... 300.6 meV per atom